Record 1
9
Lattice="0.000 4.842 6.260 2.763 0.000 6.260 2.763 4.842 0.000" Properties=species:S:1:pos:R:3 comment="Dy2Ge4Os3 | Alexandria | PBE-GGA | optimized geometry" formation_enthalpy_0k_ev_per_fu=-2.824 pbc="T T T"
Dy 2.763 4.842 1.637
Dy 2.763 4.842 10.884
Ge 2.763 3.232 4.277
Ge 2.763 3.232 8.244
Ge 2.763 6.453 4.277
Ge 2.763 6.453 8.244
Os 1.381 2.421 0.000
Os 1.381 2.421 6.260
Os 2.763 4.842 6.260

Record 2
4
Lattice="1.495 0.863 6.510 -1.495 0.863 6.510 0.000 -1.727 6.510" Properties=species:S:1:pos:R:3 comment="Tc2AsN | Alexandria | PBE-GGA | optimized geometry" raw_formation_energy_mev_per_atom=216 pbc="T T T"
Tc 0.000 0.000 0.000
Tc 0.000 0.000 3.908
As 0.000 0.000 8.550
N 0.000 0.000 11.779

Record 3
4
Lattice="1.763 1.018 9.494 -1.763 1.018 9.494 0.000 -2.036 9.494" Properties=species:S:1:pos:R:3 comment="CrBiCl2 | Alexandria | PBE-GGA | optimized geometry" raw_formation_energy_mev_per_atom=-131 pbc="T T T"
Cr 0.000 0.000 0.000
Bi 0.000 0.000 14.241
Cl 0.000 0.000 2.290
Cl 0.000 0.000 26.192

Record 4
5
Lattice="4.269 0.000 0.000 0.000 4.269 0.000 0.000 0.000 4.269" Properties=species:S:1:pos:R:3 comment="HgBN3 | Alexandria | PBE-GGA | optimized geometry" raw_formation_energy_mev_per_atom=3483 pbc="T T T"
Hg 0.000 0.000 0.000
B 2.134 2.134 2.134
N 0.000 0.000 2.134
N 0.000 2.134 0.000
N 2.134 0.000 0.000

Record 5
5
Lattice="4.835 0.000 0.000 0.000 4.835 0.000 0.000 0.000 5.723" Properties=species:S:1:pos:R:3 comment="CaZrTi2Sb | Alexandria | PBE-GGA | optimized geometry" raw_formation_energy_mev_per_atom=890 pbc="T T T"
Ca 0.000 0.000 0.000
Zr 0.000 0.000 2.861
Ti 0.000 2.418 2.861
Ti 2.418 0.000 2.861
Sb 2.418 2.418 0.000

Record 6
4
Lattice="2.674 0.000 0.000 0.000 3.671 0.000 0.000 0.000 5.249" Properties=species:S:1:pos:R:3 comment="Fe2RuRh | Alexandria | PBE-GGA | optimized geometry" formation_enthalpy_0k_ev_per_fu=0.366 pbc="T T T"
Fe 0.000 0.000 0.000
Fe 1.337 1.835 1.268
Ru 1.337 1.835 4.008
Rh 0.000 0.000 2.595

Record 7
4
Lattice="2.728 -3.372 0.000 2.728 3.372 0.000 0.000 0.000 2.766" Properties=species:S:1:pos:R:3 comment="CoSiRh2 | Alexandria | PBE-GGA | optimized geometry" raw_formation_energy_mev_per_atom=-363 pbc="T T T"
Co 0.000 0.000 0.000
Si 2.728 0.000 0.000
Rh 1.364 1.686 1.383
Rh 1.364 -1.686 1.383

Record 8
4
Lattice="3.864 -1.523 0.000 3.864 1.523 0.000 -1.118 0.000 5.031" Properties=species:S:1:pos:R:3 comment="FeMoAs2 | Alexandria | PBE-GGA | optimized geometry" formation_enthalpy_0k_ev_per_fu=0.709 pbc="T T T"
Fe 0.000 0.000 0.000
Mo 3.305 0.000 2.515
As 1.103 0.000 3.855
As 5.507 0.000 1.176

Record 9
7
Lattice="-2.348 2.348 6.005 2.348 -2.348 6.005 2.348 2.348 -6.005" Properties=species:S:1:pos:R:3 comment="Cu2Ir4Ru | Alexandria | PBE-GGA | optimized geometry" formation_enthalpy_0k_ev_per_fu=11.793 pbc="T T T"
Cu 0.000 0.000 1.214
Cu 0.000 0.000 10.796
Ir 2.348 0.000 0.000
Ir 0.000 0.000 3.634
Ir 0.000 2.348 0.000
Ir 0.000 0.000 8.376
Ru 0.000 0.000 6.005

Record 10
12
Lattice="9.588 -2.297 0.000 9.588 2.297 0.000 -4.404 0.000 9.325" Properties=species:S:1:pos:R:3 comment="SrSm3Bi2 | Alexandria | PBE-GGA | optimized geometry" formation_enthalpy_0k_ev_per_fu=-3.197 pbc="T T T"
Sr 1.604 0.000 1.068
Sr 13.166 0.000 8.257
Sm -1.844 0.000 6.241
Sm 5.439 0.000 1.096
Sm 4.496 0.000 4.878
Sm 10.275 0.000 4.447
Sm 9.332 0.000 8.229
Sm 16.615 0.000 3.083
Bi 1.558 0.000 6.608
Bi 8.685 0.000 1.593
Bi 6.086 0.000 7.731
Bi 13.213 0.000 2.716

Record 11
4
Lattice="-1.980 1.980 4.735 1.980 -1.980 4.735 1.980 1.980 -4.735" Properties=species:S:1:pos:R:3 comment="ReNiTe2 | Alexandria | PBE-GGA | optimized geometry" raw_formation_energy_mev_per_atom=851 pbc="T T T"
Re 0.000 0.000 0.000
Ni 0.000 1.980 2.368
Te 1.980 0.000 2.368
Te 0.000 0.000 4.735

Record 12
4
Lattice="4.748 0.000 0.000 0.000 4.748 0.000 0.000 0.000 4.281" Properties=species:S:1:pos:R:3 comment="MgTl2Au | Alexandria | PBE-GGA | optimized geometry" formation_enthalpy_0k_ev_per_fu=-0.151 pbc="T T T"
Mg 0.000 0.000 0.000
Tl 0.000 2.374 2.140
Tl 2.374 0.000 2.140
Au 2.374 2.374 0.000

Number 1: V 167 Å³/cell. Number 2: V 50 Å³/cell. Number 3: V 102 Å³/cell. Number 4: V 78 Å³/cell. Number 5: V 134 Å³/cell. Number 6: V 52 Å³/cell. Number 7: V 51 Å³/cell. Number 8: V 59 Å³/cell. Number 9: V 132 Å³/cell. Number 10: V 411 Å³/cell. Number 11: V 74 Å³/cell. Number 12: V 97 Å³/cell.